# ZnPb3 GGA-PBE relaxed
data_ZnPb3
_chemical_formula_sum 'Zn4 Pb12'
_symmetry_space_group_name_H-M 'P n m a'
_symmetry_Int_Tables_number 62
_cell_length_a 6.990
_cell_length_b 9.766
_cell_length_c 6.604
_cell_angle_alpha 90.00
_cell_angle_beta 90.00
_cell_angle_gamma 90.00
loop_
_symmetry_equiv_pos_as_xyz
'x,y,z'
'-x,-y,-z'
'-x+1/2,-y,z+1/2'
'x+1/2,y,-z+1/2'
'x+1/2,-y+1/2,-z+1/2'
'-x+1/2,y+1/2,z+1/2'
'-x,y+1/2,-z'
'x,-y+1/2,z'
loop_
_atom_site_label
_atom_site_type_symbol
_atom_site_fract_x
_atom_site_fract_y
_atom_site_fract_z
Zn1 Zn 0.094 0.250 0.039
Pb1 Pb 0.002 0.250 0.594
Pb2 Pb 0.195 0.547 0.823
# Energy relative to the elements, eV/atom: 0.09
# Electronic total energy, eV for the cell shown: -48.23
# ρ, g/cm³: 10.12

# Zn3Pb GGA-PBE relaxed
data_Zn3Pb
_chemical_formula_sum 'Zn6 Pb2'
_symmetry_space_group_name_H-M 'P 63/m m c'
_symmetry_Int_Tables_number 194
_symmetry_space_group_name_Hall '-P 6c 2c'
_cell_length_a 6.8135
_cell_length_b 6.8135
_cell_length_c 4.1178
_cell_angle_alpha 90.00
_cell_angle_beta 90.00
_cell_angle_gamma 120.00
loop_
_atom_site_label
_atom_site_type_symbol
_atom_site_fract_x
_atom_site_fract_y
_atom_site_fract_z
Zn1 Zn 0.1412 0.2824 0.2500
Pb1 Pb 0.3333 0.6667 0.7500
# Energy relative to the elements, eV/atom: 0.14
# Electronic total energy, eV for the cell shown: -13.91
# ρ, g/cm³: 8.09

# Zn11Pb GGA-PBE relaxed
data_Zn11Pb
_chemical_formula_sum 'Zn44 Pb4'
_symmetry_space_group_name_H-M 'I 41/a m d'
_symmetry_Int_Tables_number 141
_cell_length_a 10.790
_cell_length_b 10.790
_cell_length_c 6.906
_cell_angle_alpha 90.00
_cell_angle_beta 90.00
_cell_angle_gamma 90.00
loop_
_symmetry_equiv_pos_as_xyz
'x,y,z'
'-x,-y,-z'
'-y+1/4,x+3/4,z+1/4'
'y+1/4,-x+3/4,-z+1/4'
'-x+1/2,-y,z+1/2'
'x+1/2,y,-z+1/2'
'y+1/4,-x+1/4,z+3/4'
'-y+1/4,x+1/4,-z+3/4'
'x,-y,-z'
'-x,y,z'
'-y+1/4,-x+1/4,-z+3/4'
'y+1/4,x+1/4,z+3/4'
'-x+1/2,y,-z+1/2'
'x+1/2,-y,z+1/2'
'y+1/4,x+3/4,-z+1/4'
'-y+1/4,-x+3/4,z+1/4'
'x+1/2,y+1/2,z+1/2'
'-x+1/2,-y+1/2,-z+1/2'
'-y+3/4,x+1/4,z+3/4'
'y+3/4,-x+1/4,-z+3/4'
'-x,-y+1/2,z'
'x,y+1/2,-z'
'y+3/4,-x+3/4,z+1/4'
'-y+3/4,x+3/4,-z+1/4'
'x+1/2,-y+1/2,-z+1/2'
'-x+1/2,y+1/2,z+1/2'
'-y+3/4,-x+3/4,-z+1/4'
'y+3/4,x+3/4,z+1/4'
'-x,y+1/2,-z'
'x,-y+1/2,z'
'y+3/4,x+1/4,-z+3/4'
'-y+3/4,-x+1/4,z+3/4'
loop_
_atom_site_label
_atom_site_type_symbol
_atom_site_fract_x
_atom_site_fract_y
_atom_site_fract_z
Zn1 Zn 0.000 0.000 0.000
Zn2 Zn 0.000 0.250 0.875
Zn3 Zn 0.122 0.044 0.681
Pb1 Pb 0.000 0.250 0.375
# Energy relative to the elements, eV/atom: 0.04
# Electronic total energy, eV for the cell shown: -69.17
# ρ, g/cm³: 7.66

# Zn3Pb GGA-PBE relaxed
data_Zn3Pb
_chemical_formula_sum 'Zn6 Pb2'
_symmetry_space_group_name_H-M 'C m m m'
_symmetry_Int_Tables_number 65
_symmetry_space_group_name_Hall '-C 2 2'
_cell_length_a 5.714
_cell_length_b 8.454
_cell_length_c 3.390
_cell_angle_alpha 90.00
_cell_angle_beta 90.00
_cell_angle_gamma 90.00
loop_
_atom_site_label
_atom_site_type_symbol
_atom_site_fract_x
_atom_site_fract_y
_atom_site_fract_z
Zn1 Zn 0.000 0.000 0.000
Zn2 Zn 0.250 0.250 0.500
Pb1 Pb 0.000 0.500 0.000
# Energy relative to the elements, eV/atom: 0.22
# Electronic total energy, eV for the cell shown: -13.31
# ρ, g/cm³: 8.18